No. 1
Entry from the Alexandria database: an optimized crystal structure of Na3C2O6 (GGA-PBE).

Properties
- E_form (uncorrected) (eV per atom) = -1.58
- energy (eV/f.u.) = -69.54
- ΔE to the lowest computed polymorph (kJ/mol of formula units) = 5
- N(E_F) (states/eV/cell) = 11.24

Cell: 8.4531 8.4531 9.8612 Å, 98.73 98.73 23.99°
Positions (direct):
Na (0.1613, 0.4591, 0.1389)
Na (0.2285, 0.7715, 0.7500)
Na (0.4591, 0.1613, 0.6389)
Na (0.5409, 0.8387, 0.3611)
Na (0.7715, 0.2285, 0.2500)
Na (0.8387, 0.5409, 0.8611)
C (0.1480, 0.5950, 0.4244)
C (0.4050, 0.8520, 0.0756)
C (0.5950, 0.1480, 0.9244)
C (0.8520, 0.4050, 0.5756)
O (0.0623, 0.7211, 0.5500)
O (0.1798, 0.6626, 0.3366)
O (0.2017, 0.3934, 0.3842)
O (0.2789, 0.9377, 0.9500)
O (0.3374, 0.8202, 0.1634)
O (0.3934, 0.2017, 0.8842)
O (0.6066, 0.7983, 0.1158)
O (0.6626, 0.1798, 0.8366)
O (0.7211, 0.0623, 0.0500)
O (0.7983, 0.6066, 0.6158)
O (0.8202, 0.3374, 0.6634)
O (0.9377, 0.2789, 0.4500)



No. 2
Entry from the Alexandria database: an optimized crystal structure of Na3C2O6 (GGA-PBE).

Properties
- E_form (uncorrected) (eV per atom) = -1.59
- energy (eV/f.u.) = -69.60
- ΔE to the lowest computed polymorph (kJ/mol of formula units) = 0
- N(E_F) (states/eV/cell) = 9.17

Cell: 4.9108 6.3361 9.1692 Å, 90.00 90.00 90.00°
Positions (direct):
Na (0.0000, 0.0000, 0.0000)
Na (0.0000, 0.5000, 0.1852)
Na (0.0000, 0.5000, 0.8148)
Na (0.5000, 0.0000, 0.3148)
Na (0.5000, 0.0000, 0.6852)
Na (0.5000, 0.5000, 0.5000)
C (0.0290, 0.2458, 0.5000)
C (0.4710, 0.7458, 0.0000)
C (0.5290, 0.2542, 0.0000)
C (0.9710, 0.7542, 0.5000)
O (0.1585, 0.2726, 0.3785)
O (0.1585, 0.2726, 0.6215)
O (0.2265, 0.8016, 0.5000)
O (0.2735, 0.3016, 0.0000)
O (0.3415, 0.7726, 0.1215)
O (0.3415, 0.7726, 0.8785)
O (0.6585, 0.2274, 0.1215)
O (0.6585, 0.2274, 0.8785)
O (0.7265, 0.6984, 0.0000)
O (0.7735, 0.1984, 0.5000)
O (0.8415, 0.7274, 0.3785)
O (0.8415, 0.7274, 0.6215)



No. 3
Entry from the Alexandria database: an optimized crystal structure of Na2CO3 (GGA-PBE).

Properties
- E_form (uncorrected) (eV per atom) = -1.71
- energy (eV/f.u.) = -36.99
- N(E_F) (states/eV/cell) = 0.00

Cell: 5.2786 5.2786 6.3299 Å, 90.00 90.00 120.00°
Positions (direct):
Na (0.0000, 0.0000, 0.0000)
Na (0.0000, 0.0000, 0.5000)
Na (0.3333, 0.6667, 0.2500)
Na (0.6667, 0.3333, 0.7500)
C (0.3333, 0.6667, 0.7500)
C (0.6667, 0.3333, 0.2500)
O (0.1911, 0.3823, 0.7500)
O (0.1911, 0.8089, 0.7500)
O (0.3823, 0.1911, 0.2500)
O (0.6177, 0.8089, 0.7500)
O (0.8089, 0.1911, 0.2500)
O (0.8089, 0.6177, 0.2500)



No. 4
Entry from the Alexandria database: an optimized crystal structure of Na2CO3 (GGA-PBE).

Properties
- E_form (uncorrected) (eV per atom) = -1.71
- energy (eV/f.u.) = -37.00
- N(E_F) (states/eV/cell) = 0.00

Cell: 3.4108 11.1360 8.0787 Å, 90.00 98.09 90.00°
Positions (direct):
Na (0.1741, 0.1762, 0.4642)
Na (0.1741, 0.3238, 0.9642)
Na (0.1838, 0.5602, 0.6622)
Na (0.1838, 0.9398, 0.1622)
Na (0.8162, 0.0602, 0.8378)
Na (0.8162, 0.4398, 0.3378)
Na (0.8259, 0.6762, 0.0358)
Na (0.8259, 0.8238, 0.5358)
C (0.4114, 0.6591, 0.3338)
C (0.4114, 0.8409, 0.8338)
C (0.5886, 0.1591, 0.1662)
C (0.5886, 0.3409, 0.6662)
O (0.2700, 0.7323, 0.8191)
O (0.2700, 0.7677, 0.3191)
O (0.3391, 0.5824, 0.2096)
O (0.3391, 0.9176, 0.7096)
O (0.3704, 0.1259, 0.0286)
O (0.3704, 0.3741, 0.5286)
O (0.6296, 0.6259, 0.4714)
O (0.6296, 0.8741, 0.9714)
O (0.6609, 0.0824, 0.2904)
O (0.6609, 0.4176, 0.7904)
O (0.7300, 0.2323, 0.6809)
O (0.7300, 0.2677, 0.1809)



No. 5
Entry from the Alexandria database: an optimized crystal structure of Na4CO4 (GGA-PBE).

Properties
- E_form (uncorrected) (eV per atom) = -1.42
- energy (eV/f.u.) = -47.14
- ΔE to the lowest computed polymorph (kJ/mol of formula units) = 64
- N(E_F) (states/eV/cell) = 0.00

Cell: 5.2925 5.2925 5.4595 Å, 112.88 112.88 60.33°
Positions (direct):
Na (0.1322, 0.1322, 0.3860)
Na (0.3893, 0.2915, 0.9665)
Na (0.7085, 0.6107, 0.0335)
Na (0.8678, 0.8678, 0.6140)
C (0.4190, 0.5810, 0.5000)
O (0.1450, 0.6251, 0.2874)
O (0.3749, 0.8550, 0.7126)
O (0.4885, 0.3459, 0.6117)
O (0.6541, 0.5115, 0.3883)



No. 6
Entry from the Alexandria database: an optimized crystal structure of Na4CO4 (GGA-PBE).

Properties
- E_form (uncorrected) (eV per atom) = -1.37
- energy (eV/f.u.) = -46.67
- ΔE to the lowest computed polymorph (kJ/mol of formula units) = 109

Cell: 5.5331 5.5331 5.2687 Å, 90.14 90.14 81.33°
Positions (direct):
Na (0.0004, 0.5004, 0.4689)
Na (0.1911, 0.8089, 0.0000)
Na (0.5004, 0.0004, 0.4689)
Na (0.8089, 0.1911, 0.0000)
C (0.0003, 0.0003, 0.4318)
O (0.1399, 0.1399, 0.2692)
O (0.1630, 0.8381, 0.5832)
O (0.8381, 0.1630, 0.5832)
O (0.8603, 0.8603, 0.2687)